{"formula": "HfCd2Ag", "functional": "PBE-GGA", "state": "relaxed", "lattice": [[4.5804, 0.0000, 0.0000], [0.0000, 4.2330, 0.0000], [0.0000, 0.0000, 4.2330]], "species": ["Ag", "Cd", "Cd", "Hf"], "fractional_positions": [[0.5000, 0.5000, 0.5000], [0.0000, 0.5000, 0.0000], [0.0000, 0.0000, 0.5000], [0.5000, 0.0000, 0.0000]], "total_magnetization_mub_per_cell": 0.00, "e_tot_ev_per_atom": -3.5808, "delta_e_f_ev_per_atom": 0.0780}